The following is a DFT calculation (GGA-PBE) of a geometry-optimized Cs2K4As structure.

- symmetry = I4/mmm (139)
- uncorrected energy (eV for the cell shown) = -11.61

Unit cell a=6.545 b=6.545 c=13.707 alpha=76.19 beta=76.19 gamma=90.00
Element x y z (fractional)
1 K 0.878 0.878 0.244
2 K 0.122 0.122 0.756
3 As 0.000 0.000 0.000
4 K 0.500 0.000 0.000
5 Cs 0.687 0.687 0.626
6 K 0.000 0.500 0.000
7 Cs 0.313 0.313 0.374